Entry 1:
First-principles (PBE) data for a relaxed structure of NaHgPdO2, as listed in Alexandria via LeMat-Bulk.

Values from the calculation:
The volume comes out at 249.0 Å³/cell. Its total DFT energy (no corrections) is -3.85 eV per atom. The crystal system is orthorhombic. The size of the total moment comes out at 1.66 Bohr magnetons per cell.

Unit cell a=6.4497 b=5.9542 c=7.1351 alpha=114.66 beta=90.00 gamma=90.00
Element x y z (fractional)
Hg (0.0000, 0.0000, 0.0000)
Hg (0.0000, 0.5000, 0.0000)
Pd (0.5000, 0.7500, 0.0000)
Pd (0.5000, 0.2500, 0.0000)
O (0.4981, 0.1023, 0.2045)
O (0.5019, 0.8977, 0.7955)
O (0.4981, 0.3977, 0.7955)
O (0.5019, 0.6023, 0.2045)
Na (0.3448, 0.7500, 0.5000)
Na (0.6552, 0.2500, 0.5000)

=====

Entry 2:
First-principles (PBE) data for a relaxed structure of Al2Si4Ni, as listed in Alexandria via LeMat-Bulk.

Values from the calculation:
The volume comes out at 130.7 Å³/cell. The relative energy among the computed polymorphs comes out at 142 meV per atom. The crystal system is trigonal. The size of the total moment comes out at 0.00 Bohr magnetons per cell.

Unit cell a=3.6381 b=3.6381 c=11.4046 alpha=90.00 beta=90.00 gamma=120.00
Element x y z (fractional)
Si (0.0000, 0.0000, 0.9238)
Si (0.0000, 0.0000, 0.5311)
Si (0.6667, 0.3333, 0.2587)
Si (0.6667, 0.3333, 0.7929)
Ni (0.0000, 0.0000, 0.7259)
Al (0.3333, 0.6667, 0.3916)
Al (0.6667, 0.3333, 0.0440)

=====

Entry 3:
First-principles (PBE) data for a relaxed structure of Te2OsNO, as listed in Alexandria via LeMat-Bulk.

Values from the calculation:
The volume comes out at 79.6 Å³/cell. The relative energy among the computed polymorphs comes out at 714 meV per atom. The crystal system is tetragonal. The size of the total moment comes out at 1.27 Bohr magnetons per cell.

Unit cell a=4.7237 b=4.7237 c=3.5661 alpha=90.00 beta=90.00 gamma=90.00
Element x y z (fractional)
N (0.0000, 0.0000, 0.5000)
Te (0.5000, 0.0000, 0.0000)
Te (0.0000, 0.5000, 0.0000)
Os (0.5000, 0.5000, 0.5000)
O (0.0000, 0.0000, 0.0000)

=====

Entry 4:
First-principles (PBE) data for a relaxed structure of LiCa, as listed in Alexandria via LeMat-Bulk.

Values from the calculation:
The volume comes out at 261.9 Å³/cell. The relative energy among the computed polymorphs comes out at 179 meV per atom. The formation energy is 191 meV per atom. The crystal system is tetragonal. The size of the total moment comes out at 0.07 Bohr magnetons per cell.

Unit cell a=6.4286 b=6.4286 c=6.3380 alpha=90.00 beta=90.00 gamma=90.00
Element x y z (fractional)
Ca (0.8016, 0.8016, 0.0000)
Ca (0.6984, 0.3016, 0.5000)
Ca (0.3016, 0.6984, 0.5000)
Ca (0.1984, 0.1984, 0.0000)
Li (0.3245, 0.6755, 0.0000)
Li (0.6755, 0.3245, 0.0000)
Li (0.8245, 0.8245, 0.5000)
Li (0.1755, 0.1755, 0.5000)

=====

Entry 5:
First-principles (PBE) data for a relaxed structure of ZrAg2Os, as listed in Alexandria via LeMat-Bulk.

Values from the calculation:
The volume comes out at 70.4 Å³/cell. The relative energy among the computed polymorphs comes out at 451 meV per atom. The formation energy is 524 meV per atom. The crystal system is tetragonal. The size of the total moment comes out at 0.67 Bohr magnetons per cell.

Unit cell a=2.7888 b=2.7888 c=9.0576 alpha=90.00 beta=90.00 gamma=90.00
Element x y z (fractional)
Ag (0.0000, 0.0000, 0.0138)
Ag (0.0000, 0.0000, 0.4862)
Zr (0.5000, 0.5000, 0.7500)
Os (0.5000, 0.5000, 0.2500)

=====

Entry 6:
First-principles (PBE) data for a relaxed structure of Sc3TiMn, as listed in Alexandria via LeMat-Bulk.

Values from the calculation:
The volume comes out at 110.3 Å³/cell. The relative energy among the computed polymorphs comes out at 0 meV per atom. The formation energy is 451 meV per atom. The crystal system is cubic. The size of the total moment comes out at 0.17 Bohr magnetons per cell.

Unit cell a=4.7965 b=4.7965 c=4.7965 alpha=90.00 beta=90.00 gamma=90.00
Element x y z (fractional)
Ti (0.5000, 0.5000, 0.5000)
Sc (0.5000, 0.0000, 0.0000)
Sc (0.0000, 0.5000, 0.0000)
Sc (0.0000, 0.0000, 0.5000)
Mn (0.0000, 0.0000, 0.0000)

=====

Entry 7:
First-principles (PBE) data for a relaxed structure of Pr2GaPd, as listed in Alexandria via LeMat-Bulk.

Values from the calculation:
The volume comes out at 133.8 Å³/cell. The formation energy is -81 meV per atom. The crystal system is trigonal. The size of the total moment comes out at 0.00 Bohr magnetons per cell.

Unit cell a=3.9608 b=3.9608 c=10.1102 alpha=78.70 beta=78.70 gamma=60.00
Element x y z (fractional)
Pr (0.1059, 0.1059, 0.6822)
Pr (0.8941, 0.8941, 0.3178)
Pd (0.5000, 0.5000, 0.5000)
Ga (0.0000, 0.0000, 0.0000)

=====

Entry 8:
First-principles (PBE) data for a relaxed structure of NaLi2CuF8, as listed in Alexandria via LeMat-Bulk.

Values from the calculation:
The volume comes out at 142.2 Å³/cell. Its total DFT energy (no corrections) is -3.91 eV per atom. The crystal system is monoclinic. The size of the total moment comes out at 2.00 Bohr magnetons per cell.

Unit cell a=4.7111 b=4.6176 c=6.5428 alpha=89.99 beta=89.99 gamma=92.04
Element x y z (fractional)
F (0.4219, 0.3000, 0.4999)
F (0.1675, 0.7922, 0.2062)
F (0.3109, 0.2706, 0.0000)
F (0.1676, 0.7924, 0.7939)
F (0.5781, 0.7000, 0.5001)
F (0.8324, 0.2076, 0.2061)
F (0.8325, 0.2078, 0.7938)
F (0.6891, 0.7294, 0.0000)
Cu (0.0000, 0.0000, 0.0000)
Na (0.0000, 0.0000, 0.5000)
Li (0.5002, 0.4998, 0.7775)
Li (0.4998, 0.5002, 0.2225)

=====

Entry 9:
First-principles (PBE) data for a relaxed structure of Ce4Mg5Sn6, as listed in Alexandria via LeMat-Bulk.

Values from the calculation:
The volume comes out at 831.1 Å³/cell. The formation energy is -451 meV per atom. The crystal system is orthorhombic. The size of the total moment comes out at 0.60 Bohr magnetons per cell.

Unit cell a=4.7514 b=10.7737 c=16.6452 alpha=90.00 beta=90.00 gamma=102.74
Element x y z (fractional)
Sn (0.4409, 0.8817, 0.8541)
Sn (0.5714, 0.1427, 0.9130)
Sn (0.7646, 0.5292, 0.2701)
Sn (0.5714, 0.1429, 0.6298)
Sn (0.5591, 0.1183, 0.3541)
Sn (0.2277, 0.4555, 0.4768)
Sn (0.4286, 0.8571, 0.1298)
Sn (0.7723, 0.5445, 0.9768)
Sn (0.2354, 0.4708, 0.7701)
Sn (0.1084, 0.2168, 0.1169)
Sn (0.4286, 0.8573, 0.4130)
Sn (0.8916, 0.7832, 0.6169)
Ce (0.9804, 0.9608, 0.9997)
Ce (0.1618, 0.3237, 0.3019)
Ce (0.8267, 0.6534, 0.4440)
Ce (0.9652, 0.9305, 0.2672)
Ce (0.1733, 0.3466, 0.9440)
Ce (0.0348, 0.0695, 0.7672)
Ce (0.0196, 0.0392, 0.4997)
Ce (0.8382, 0.6763, 0.8019)
Mg (0.3399, 0.6798, 0.2737)
Mg (0.3054, 0.6108, 0.6205)
Mg (0.8446, 0.6891, 0.1266)
Mg (0.6601, 0.3202, 0.7737)
Mg (0.3472, 0.6944, 0.9817)
Mg (0.4414, 0.8828, 0.6795)
Mg (0.6946, 0.3892, 0.1205)
Mg (0.1554, 0.3109, 0.6266)
Mg (0.5586, 0.1172, 0.1795)
Mg (0.6528, 0.3056, 0.4817)

=====

Entry 10:
First-principles (PBE) data for a relaxed structure of MgSiRh, as listed in Alexandria via LeMat-Bulk.

Values from the calculation:
The volume comes out at 193.1 Å³/cell. Its total DFT energy (no corrections) is -5.40 eV per atom. The crystal system is monoclinic. The size of the total moment comes out at 0.00 Bohr magnetons per cell.

Unit cell a=6.5374 b=3.9260 c=9.7687 alpha=90.00 beta=129.62 gamma=90.00
Element x y z (fractional)
Si (0.2043, 0.5000, 0.6489)
Si (0.7957, 0.0000, 0.8511)
Si (0.2043, 0.0000, 0.1489)
Si (0.7957, 0.5000, 0.3511)
Rh (0.6066, 0.0000, 0.1895)
Rh (0.3934, 0.0000, 0.8105)
Rh (0.6066, 0.5000, 0.6895)
Rh (0.3934, 0.5000, 0.3105)
Mg (0.2032, 0.0000, 0.4333)
Mg (0.7968, 0.0000, 0.5667)
Mg (0.7968, 0.5000, 0.0667)
Mg (0.2032, 0.5000, 0.9333)

=====

Entry 11:
First-principles (PBE) data for a relaxed structure of SrPm2Os, as listed in Alexandria via LeMat-Bulk.

Values from the calculation:
The volume comes out at 129.0 Å³/cell. The relative energy among the computed polymorphs comes out at 0 meV per atom. The formation energy is 16 meV per atom. The crystal system is tetragonal. The size of the total moment comes out at 0.00 Bohr magnetons per cell.

Unit cell a=3.5378 b=3.5378 c=10.3077 alpha=90.00 beta=90.00 gamma=90.00
Element x y z (fractional)
Pm (0.0000, 0.0000, 0.8370)
Pm (0.0000, 0.0000, 0.1630)
Os (0.5000, 0.5000, 0.0000)
Sr (0.5000, 0.5000, 0.5000)

=====

Entry 12:
First-principles (PBE) data for a relaxed structure of Pm2HoEr4Mg, as listed in Alexandria via LeMat-Bulk.

Values from the calculation:
The volume comes out at 246.2 Å³/cell. The formation energy is 31 meV per atom. The crystal system is monoclinic. The size of the total moment comes out at 0.01 Bohr magnetons per cell.

Unit cell a=4.9397 b=4.9542 c=11.2197 alpha=63.74 beta=90.00 gamma=90.00
Element x y z (fractional)
Mg (0.5000, 0.5000, 0.0000)
Er (0.0000, 0.7491, 0.7506)
Er (0.5000, 0.2497, 0.7503)
Er (0.5000, 0.7503, 0.2497)
Er (0.0000, 0.2509, 0.2494)
Pm (0.5000, 0.0000, 0.5000)
Pm (0.0000, 0.0000, 0.0000)
Ho (0.0000, 0.5000, 0.5000)